NbAlCoHg | PBE | optimized geometry

Unit cell a=4.5048 b=4.5048 c=4.5048 alpha=60.00 beta=60.00 gamma=60.00
Sites, in units of the cell vectors:
Nb  0.0000  0.0000  0.0000
Al  0.2500  0.2500  0.2500
Co  0.5000  0.5000  0.5000
Hg  0.7500  0.7500  0.7500

NbAlCoHg | PBE | optimized geometry

Unit cell a=4.5022 b=4.5022 c=4.5022 alpha=60.00 beta=60.00 gamma=60.00
Sites, in units of the cell vectors:
Nb  0.0000  0.0000  0.0000
Al  0.5000  0.5000  0.5000
Co  0.7500  0.7500  0.7500
Hg  0.2500  0.2500  0.2500

AlCoHgOs | PBE | optimized geometry

Unit cell a=4.3884 b=4.3884 c=4.3884 alpha=60.00 beta=60.00 gamma=60.00
Sites, in units of the cell vectors:
Al  0.0000  0.0000  0.0000
Co  0.2500  0.2500  0.2500
Hg  0.5000  0.5000  0.5000
Os  0.7500  0.7500  0.7500

AlCoHgPd | PBE | optimized geometry

Unit cell a=4.4164 b=4.4164 c=4.4164 alpha=60.00 beta=60.00 gamma=60.00
Sites, in units of the cell vectors:
Al  0.0000  0.0000  0.0000
Co  0.2500  0.2500  0.2500
Hg  0.5000  0.5000  0.5000
Pd  0.7500  0.7500  0.7500

What did we get for calculated total energy? Answer: -5.02 -5.11 -5.20 -4.19 eV/atom, in the order shown.